No. 1
## ThPdAu4 (PBE-GGA)

Data for a relaxed structure of ThPdAu4.

Summary:
Crystal system = cubic
DOS at the Fermi energy = 19.12 states/eV/cell
DFT formation energy = -0.45 eV per atom

The structure in CIF format:
```
data_ThPdAu4
_chemical_formula_sum 'Th4 Pd4 Au16'
_cell_length_a 7.837
_cell_length_b 7.837
_cell_length_c 7.837
_cell_angle_alpha 90.00
_cell_angle_beta 90.00
_cell_angle_gamma 90.00
_space_group_name_H-M_alt 'F -4 3 m'
_space_group_IT_number 216
_space_group_name_Hall 'F -4 2 3'
loop_
_atom_site_label
_atom_site_type_symbol
_atom_site_fract_x
_atom_site_fract_y
_atom_site_fract_z
Th1 Th 0.000 0.000 0.000
Pd1 Pd 0.250 0.250 0.250
Au1 Au 0.124 0.124 0.624
```

***

No. 2
## Th3Pd2Au3 (PBE-GGA)

Data for a relaxed structure of Th3Pd2Au3.

Summary:
Crystal system = hexagonal
DOS at the Fermi energy = 5.05 states/eV/cell
DFT formation energy = -0.76 eV per atom

The structure in CIF format:
```
data_Th3Pd2Au3
_chemical_formula_sum 'Th3 Pd2 Au3'
_cell_length_a 7.4515
_cell_length_b 7.4515
_cell_length_c 3.9172
_cell_angle_alpha 90.00
_cell_angle_beta 90.00
_cell_angle_gamma 120.00
_space_group_name_H-M_alt 'P -6 2 m'
_space_group_IT_number 189
_space_group_name_Hall 'P -6 -2'
loop_
_atom_site_label
_atom_site_type_symbol
_atom_site_fract_x
_atom_site_fract_y
_atom_site_fract_z
Th1 Th 0.0000 0.6165 0.0000
Pd1 Pd 0.3333 0.6667 0.5000
Au1 Au 0.0000 0.2426 0.5000
```

***

No. 3
## Th3Pd2Au4 (PBE-GGA)

Data for a relaxed structure of Th3Pd2Au4.

Summary:
Crystal system = monoclinic
DOS at the Fermi energy = 14.92 states/eV/cell
DFT formation energy = -0.72 eV per atom

The structure in CIF format:
```
data_Th3Pd2Au4
_chemical_formula_sum 'Th6 Pd4 Au8'
_cell_length_a 10.884
_cell_length_b 4.682
_cell_length_c 9.005
_cell_angle_alpha 90.00
_cell_angle_beta 117.35
_cell_angle_gamma 90.00
_space_group_name_H-M_alt 'C 1 2/m 1'
_space_group_IT_number 12
_space_group_name_Hall '-C 2y'
loop_
_atom_site_label
_atom_site_type_symbol
_atom_site_fract_x
_atom_site_fract_y
_atom_site_fract_z
Th1 Th 0.000 0.000 0.000
Th2 Th 0.173 0.500 0.656
Pd1 Pd 0.107 0.500 0.273
Au1 Au 0.047 0.000 0.381
Au2 Au 0.219 0.500 0.057
```

***

No. 4
## Th11Pd4Au9 (PBE-GGA)

Data for a relaxed structure of Th11Pd4Au9.

Summary:
Crystal system = orthorhombic
DOS at the Fermi energy = 41.02 states/eV/cell
DFT formation energy = -0.66 eV per atom

The structure in CIF format:
```
data_Th11Pd4Au9
_chemical_formula_sum 'Th22 Pd8 Au18'
_cell_length_a 14.378
_cell_length_b 21.690
_cell_length_c 3.771
_cell_angle_alpha 90.00
_cell_angle_beta 90.00
_cell_angle_gamma 90.00
_space_group_name_H-M_alt 'C m m m'
_space_group_IT_number 65
_space_group_name_Hall '-C 2 2'
loop_
_atom_site_label
_atom_site_type_symbol
_atom_site_fract_x
_atom_site_fract_y
_atom_site_fract_z
Th1 Th 0.000 0.000 0.000
Th2 Th 0.000 0.170 0.000
Th3 Th 0.000 0.369 0.000
Th4 Th 0.203 0.500 0.000
Th5 Th 0.231 0.175 0.000
Pd1 Pd 0.151 0.402 0.500
Au1 Au 0.000 0.500 0.500
Au2 Au 0.106 0.267 0.500
Au3 Au 0.141 0.071 0.500
```

***

No. 5
## ThPd2Au (PBE-GGA)

Data for a relaxed structure of ThPd2Au.

Summary:
Crystal system = orthorhombic
DOS at the Fermi energy = 20.60 states/eV/cell
DFT formation energy = -0.73 eV per atom

The structure in CIF format:
```
data_ThPd2Au
_chemical_formula_sum 'Th8 Pd16 Au8'
_cell_length_a 5.618
_cell_length_b 14.466
_cell_length_c 7.979
_cell_angle_alpha 90.00
_cell_angle_beta 90.00
_cell_angle_gamma 90.00
_space_group_name_H-M_alt 'C m c e'
_space_group_IT_number 64
_space_group_name_Hall '-C 2ac 2'
loop_
_atom_site_label
_atom_site_type_symbol
_atom_site_fract_x
_atom_site_fract_y
_atom_site_fract_z
Th1 Th 0.000 0.130 0.057
Pd1 Pd 0.000 0.168 0.441
Pd2 Pd 0.250 0.200 0.750
Au1 Au 0.000 0.023 0.679
```

***

No. 6
## Th3PdAu (PBE-GGA)

Data for a relaxed structure of Th3PdAu.

Summary:
Crystal system = orthorhombic
DOS at the Fermi energy = 23.11 states/eV/cell
DFT formation energy = -0.15 eV per atom

The structure in CIF format:
```
data_Th3PdAu
_chemical_formula_sum 'Th12 Pd4 Au4'
_cell_length_a 8.315
_cell_length_b 14.473
_cell_length_c 4.883
_cell_angle_alpha 90.00
_cell_angle_beta 90.00
_cell_angle_gamma 90.00
_space_group_name_H-M_alt 'C m m m'
_space_group_IT_number 65
_space_group_name_Hall '-C 2 2'
loop_
_atom_site_label
_atom_site_type_symbol
_atom_site_fract_x
_atom_site_fract_y
_atom_site_fract_z
Th1 Th 0.000 0.183 0.000
Th2 Th 0.184 0.500 0.500
Th3 Th 0.250 0.250 0.500
Pd1 Pd 0.000 0.091 0.500
Au1 Au 0.000 0.392 0.000
```

***

No. 7
## ThPd8Au2 (PBE-GGA)

Data for a relaxed structure of ThPd8Au2.

Summary:
Crystal system = monoclinic
Distance to the lowest polymorph of the same formula = 0.000 eV/atom
DOS at the Fermi energy = 7.58 states/eV/cell
DFT formation energy = -0.43 eV per atom

The structure in CIF format:
```
data_ThPd8Au2
_chemical_formula_sum 'Th2 Pd16 Au4'
_cell_length_a 14.586
_cell_length_b 4.175
_cell_length_c 6.378
_cell_angle_alpha 90.00
_cell_angle_beta 104.74
_cell_angle_gamma 90.00
_space_group_name_H-M_alt 'C 1 2/m 1'
_space_group_IT_number 12
_space_group_name_Hall '-C 2y'
loop_
_atom_site_label
_atom_site_type_symbol
_atom_site_fract_x
_atom_site_fract_y
_atom_site_fract_z
Th1 Th 0.000 0.000 0.000
Pd1 Pd 0.046 0.500 0.722
Pd2 Pd 0.091 0.000 0.461
Pd3 Pd 0.138 0.500 0.187
Pd4 Pd 0.183 0.000 0.911
Au1 Au 0.227 0.500 0.641
```

***

No. 8
## ThPd8Au4 (PBE-GGA)

Data for a relaxed structure of ThPd8Au4.

Summary:
Crystal system = tetragonal
DOS at the Fermi energy = 17.66 states/eV/cell
DFT formation energy = -0.27 eV per atom

The structure in CIF format:
```
data_ThPd8Au4
_chemical_formula_sum 'Th2 Pd16 Au8'
_cell_length_a 9.245
_cell_length_b 9.245
_cell_length_c 5.449
_cell_angle_alpha 90.00
_cell_angle_beta 90.00
_cell_angle_gamma 90.00
_space_group_name_H-M_alt 'I 4/m m m'
_space_group_IT_number 139
_space_group_name_Hall '-I 4 2'
loop_
_atom_site_label
_atom_site_type_symbol
_atom_site_fract_x
_atom_site_fract_y
_atom_site_fract_z
Th1 Th 0.000 0.000 0.000
Pd1 Pd 0.000 0.212 0.500
Pd2 Pd 0.000 0.346 0.000
Au1 Au 0.250 0.250 0.250
```

***

Per-record spin magnetization, μB/cell: 0.00 0.00 0.00 0.00 0.00 0.00 0.00 0.00